1.
AlGaTeI2, optimized geometry, DFT PBEsol; total DFT energy (no corrections) = -2.74 eV/atom; space group = P4/mmm; formation energy (no corrections) = 0.158 eV per atom
1.0
5.529 0.000 0.000
0.000 5.529 0.000
0.000 0.000 5.383
Al Ga Te I
1 1 1 2
direct
0.000 0.000 0.000 Al
0.500 0.500 0.500 Ga
0.500 0.500 0.000 Te
0.000 0.500 0.500 I
0.500 0.000 0.500 I


2.
AlIn2Ga, optimized geometry, DFT PBEsol; total DFT energy (no corrections) = -3.23 eV/atom; space group = Fm-3m; energy relative to the elements = 122 meV/atom
1.0
0.000 3.507 3.507
3.507 0.000 3.507
3.507 3.507 0.000
Al In Ga
1 2 1
direct
0.000 0.000 0.000 Al
0.250 0.250 0.250 In
0.750 0.750 0.750 In
0.500 0.500 0.500 Ga


3.
AlIn2Ga2, optimized geometry, DFT PBEsol; total DFT energy (no corrections) = -3.26 eV/atom; space group = P4/mbm; energy relative to the elements = 85 meV/atom
1.0
6.783 0.000 0.000
0.000 6.783 0.000
0.000 0.000 4.618
Al In Ga
2 4 4
direct
0.000 0.000 0.000 Al
0.500 0.500 0.000 Al
0.181 0.319 0.500 In
0.319 0.819 0.500 In
0.681 0.181 0.500 In
0.819 0.681 0.500 In
0.134 0.634 0.000 Ga
0.366 0.134 0.000 Ga
0.634 0.866 0.000 Ga
0.866 0.366 0.000 Ga


4.
AlInGa2, optimized geometry, DFT PBEsol; total DFT energy (no corrections) = -3.33 eV/atom; space group = Fm-3m; energy relative to the elements = 106 meV/atom
1.0
0.000 3.393 3.393
3.393 0.000 3.393
3.393 3.393 0.000
Al In Ga
1 1 2
direct
0.000 0.000 0.000 Al
0.500 0.500 0.500 In
0.250 0.250 0.250 Ga
0.750 0.750 0.750 Ga


5.
AlInGaSb3, optimized geometry, DFT PBEsol; total DFT energy (no corrections) = -4.11 eV/atom; space group = Imm2; formation energy (no corrections) = -0.094 eV per atom
1.0
-2.210 2.214 9.413
2.210 -2.214 9.413
2.210 2.214 -9.413
Al In Ga Sb
1 1 1 3
direct
0.000 0.000 0.000 Al
0.670 0.670 0.000 In
0.340 0.340 0.000 Ga
0.261 0.761 0.500 Sb
0.580 0.080 0.500 Sb
0.919 0.419 0.500 Sb


6.
AlInGaSi2, optimized geometry, DFT PBEsol; total DFT energy (no corrections) = -3.74 eV/atom; space group = P4/mmm; formation energy (no corrections) = 0.640 eV per atom
1.0
4.771 0.000 0.000
0.000 4.771 0.000
0.000 0.000 4.860
Al In Ga Si
1 1 1 2
direct
0.000 0.000 0.000 Al
0.500 0.500 0.500 In
0.000 0.000 0.500 Ga
0.000 0.500 0.000 Si
0.500 0.000 0.000 Si